[1]
Computed, not measured: a geometry-optimized YAgHg3 structure at the GGA-PBE level of DFT.

**Density of states at the Fermi level**: 3.1 states/eV/f.u.
**Relative energy among the computed polymorphs**: 0.774 eV per atom
**V**: 200 Å³/cell
**Formation enthalpy at 0 K**: 0.53 eV per atom
**Symmetry**: No. 221
**Uncorrected energy**: -1.517 eV/atom

abc: 5.8457 5.8457 5.8457
angles: 90.00 90.00 90.00
Sites, in units of the cell vectors:
1 Ag 0.5000 0.5000 0.5000
2 Hg 0.0000 0.5000 0.0000
3 Hg 0.5000 0.0000 0.0000
4 Hg 0.0000 0.0000 0.5000
5 Y 0.0000 0.0000 0.0000

[2]
Computed, not measured: a geometry-optimized YAgHg5 structure at the GGA-PBE level of DFT.

**Density of states at the Fermi level**: 3.2 states/eV/f.u.
**V**: 172 Å³/cell
**Formation enthalpy at 0 K**: -0.19 eV per atom
**Symmetry**: No. 123
**Uncorrected energy**: -1.739 eV/atom

abc: 4.8906 4.8906 7.1865
angles: 90.00 90.00 90.00
Sites, in units of the cell vectors:
1 Hg 0.0000 0.5000 0.7159
2 Y 0.0000 0.0000 0.0000
3 Hg 0.5000 0.5000 0.0000
4 Ag 0.0000 0.0000 0.5000
5 Hg 0.5000 0.0000 0.7159
6 Hg 0.5000 0.0000 0.2841
7 Hg 0.0000 0.5000 0.2841

[3]
Computed, not measured: a geometry-optimized Y4AgHg3 structure at the GGA-PBE level of DFT.

**Density of states at the Fermi level**: 5.8 states/eV/f.u.
**V**: 204 Å³/cell
**Formation enthalpy at 0 K**: -0.47 eV per atom
**Symmetry**: No. 12
**Uncorrected energy**: -4.170 eV/atom

abc: 5.2388 5.2388 8.2991
angles: 108.44 108.44 90.09
Sites, in units of the cell vectors:
1 Ag 0.5000 0.0000 0.0000
2 Hg 0.0000 0.5000 0.0000
3 Y 0.3766 0.3765 0.7533
4 Y 0.6234 0.6235 0.2467
5 Hg 0.2506 0.7505 0.5010
6 Y 0.1234 0.1234 0.2467
7 Y 0.8766 0.8766 0.7533
8 Hg 0.7494 0.2495 0.4990